The following is a PBE-GGA calculation of a relaxed structure of NaCu2Br, from Alexandria via LeMat-Bulk.

## Properties
E_form (uncorrected) = 0.414 eV/atom
polymorph energy (0 for the lowest one) = 0.1949 eV per atom
total moment = 0.000 μB/atom
Fermi-level density of states = 0.9 states/eV/f.u.
space-group type = Fm-3m (225)
mass density = 4.94 g/cm³

```
data_NaCu2Br
_cell_length_a 4.7809
_cell_length_b 4.7809
_cell_length_c 4.7809
_cell_angle_alpha 60.00
_cell_angle_beta 60.00
_cell_angle_gamma 60.00
_space_group_name_H-M_alt 'P 1'
_space_group_IT_number 1
loop_
_space_group_symop_operation_xyz
'x,y,z'
loop_
_atom_site_label
_atom_site_fract_x
_atom_site_fract_y
_atom_site_fract_z
Cu1 0.2500 0.2500 0.2500
Cu2 0.7500 0.7500 0.7500
Na1 0.0000 0.0000 0.0000
Br1 0.5000 0.5000 0.5000
```